No. 1
Entry from the Alexandria database: a relaxed BaTl2TcRu crystal (GGA-PBEsol). Values from VASP.

Quantum ESPRESSO input file:
```
&SYSTEM
  ibrav = 0, nat = 5, ntyp = 4
/
ATOMIC_SPECIES
Ba 137.33 Ba.upf
Tl 204.38 Tl.upf
Tc 98.00 Tc.upf
Ru 101.07 Ru.upf
CELL_PARAMETERS angstrom
5.2538 0.0000 0.0000
0.0000 5.2538 0.0000
0.0000 0.0000 4.7208
ATOMIC_POSITIONS crystal
Ba 0.0000 0.0000 0.0000
Tl 0.0000 0.5000 0.5000
Tl 0.5000 0.0000 0.5000
Tc 0.5000 0.5000 0.0000
Ru 0.5000 0.5000 0.5000
```

## Properties
The calculation puts the total energy at -25.95 eV/cell. The density of states at the Fermi level is 1.1408 states/eV/atom. The space group is P4/mmm (123).

No. 2
Entry from the Alexandria database: a relaxed BaZnTc2Ru crystal (GGA-PBEsol). Values from VASP.

Quantum ESPRESSO input file:
```
&SYSTEM
  ibrav = 0, nat = 5, ntyp = 4
/
ATOMIC_SPECIES
Ba 137.33 Ba.upf
Zn 65.41 Zn.upf
Tc 98.00 Tc.upf
Ru 101.07 Ru.upf
CELL_PARAMETERS angstrom
4.6864 0.0000 0.0000
0.0000 4.6864 0.0000
0.0000 0.0000 4.6681
ATOMIC_POSITIONS crystal
Ba 0.0000 0.0000 0.0000
Zn 0.5000 0.5000 0.5000
Tc 0.0000 0.5000 0.5000
Tc 0.5000 0.0000 0.5000
Ru 0.5000 0.5000 0.0000
```

## Properties
The calculation puts the total energy at -28.67 eV/cell. The density of states at the Fermi level is 1.5528 states/eV/atom. The space group is P4/mmm (123).